Entry 1:
The following is a DFT calculation (PBE-GGA) of an optimized crystal structure of KNaSnS3.

Geometry as POSCAR:
```
KNaSnS3
1.0
-3.457 -1.626 1.145
0.836 -2.099 -7.403
5.900 -10.066 3.521
K Na Sn S
2 2 2 6
Direct
0.757 0.514 0.750
0.243 0.486 0.250
0.000 0.000 0.500
0.000 0.000 0.000
0.469 0.939 0.750
0.531 0.061 0.250
0.618 0.237 0.410
0.382 0.763 0.590
0.382 0.763 0.910
0.618 0.237 0.090
0.075 0.151 0.750
0.925 0.849 0.250
```

***

Entry 2:
The following is a DFT calculation (PBE-GGA) of an optimized crystal structure of BiS2NCl.

Summary:
DOS at the Fermi energy: 0.42 states/eV/cell
Excess energy over the best structure of this formula in the dataset: 0.000 eV per atom

Geometry as POSCAR:
```
BiS2NCl
1.0
4.504 0.000 0.000
0.000 4.504 0.000
0.000 0.000 4.225
S N Bi Cl
2 1 1 1
Direct
0.000 0.500 0.000
0.500 0.000 0.000
0.000 0.000 0.000
0.500 0.500 0.500
0.000 0.000 0.500
```

***

Q: Which spin magnetization values were calculated for the entries above? A: 0.0; 0.0, in μB per cell.
Q: Which E values were calculated for the entries above? A: -0.292; -0.273, in Ry per atom.